# MgCdHg4

Crystalline MgCdHg4 at its relaxed geometry (PBE-GGA, the Alexandria database).

Computed properties:
crystal system	monoclinic
formation energy	-0.012	eV per atom
uncorrected energy	-0.63	eV/atom
energy above the lowest structure with this stoichiometry	0.031	eV/atom

a = 4.3137 Å, b = 5.2753 Å, c = 8.2059 Å
α = 120.85°, β = 90.00°, γ = 90.00°
Atoms (fractional coordinates):
Mg 0.0000 0.5000 0.5000
Cd 0.5000 0.5000 0.0000
Hg 0.0000 0.1870 0.7141
Hg 0.0000 0.8130 0.2859
Hg 0.5000 0.2041 0.2278
Hg 0.5000 0.7959 0.7722